Entry 1:
Density functional theory data (PBE) for crystalline Ti2Bi2PbO7 at its relaxed geometry.

a b c (Å): 3.7238 4.5848 11.6895
angles (deg): 101.31 99.17 90.00
Fractional coordinates of all 12 atoms:
Ti 0.4110 0.4630 0.8220
Ti 0.5890 0.6410 0.1780
Bi 0.3057 0.8187 0.6113
Bi 0.6943 0.2074 0.3887
Pb 0.0000 0.1276 0.0000
O 0.4018 0.8538 0.8036
O 0.6731 0.6585 0.3461
O 0.0830 0.5381 0.1659
O 0.5982 0.0503 0.1964
O 0.3269 0.3123 0.6539
O 0.9170 0.3722 0.8341
O 0.5000 0.4567 0.0000

Calculated values
M_tot = 0.0 μB per cell
Space group = Imm2, No. 44
Theoretical density = 7.162 Mg/m³
Formation energy (no corrections) = -1.91 eV/atom
Energy = -7.076 eV per atom
N(E_F) = 0.72 states/eV per cell
Crystal system = orthorhombic

=====

Entry 2:
Density functional theory data (PBE) for crystalline Ti5ZnBi2Pb4O18 at its relaxed geometry.

a b c (Å): 6.1381 6.1381 14.4646
angles (deg): 79.00 79.00 52.40
Fractional coordinates of all 30 atoms:
Ti 0.3445 0.3445 0.9159
Ti 0.0088 0.0088 0.7539
Ti 0.6746 0.6746 0.5849
Ti 0.3441 0.3441 0.4176
Ti 0.6768 0.6768 0.0851
Zn 0.9821 0.9821 0.2531
Bi 0.6467 0.6467 0.3129
Bi 0.2977 0.2977 0.1628
Pb 0.9840 0.9840 0.0032
Pb 0.6574 0.6574 0.8254
Pb 0.3222 0.3222 0.6579
Pb 0.9911 0.9911 0.4900
O 0.2091 0.7139 0.8578
O 0.2229 0.2229 0.8556
O 0.7139 0.2091 0.8578
O 0.8854 0.8854 0.6950
O 0.8770 0.3791 0.6895
O 0.3791 0.8770 0.6895
O 0.5430 0.0433 0.5200
O 0.5525 0.5525 0.5257
O 0.0433 0.5430 0.5200
O 0.2296 0.7086 0.3600
O 0.2344 0.2344 0.3426
O 0.7086 0.2296 0.3600
O 0.8760 0.3783 0.1895
O 0.8458 0.8458 0.1884
O 0.3783 0.8760 0.1895
O 0.5341 0.0501 0.0238
O 0.5492 0.5492 0.0302
O 0.0501 0.5341 0.0238

Calculated values
M_tot = 0.0 μB per cell
Space group = Cm, No. 8
Theoretical density = 7.240 Mg/m³
Formation energy (no corrections) = -2.14 eV/atom
Energy = -7.226 eV per atom
N(E_F) = 0.00 states/eV per cell
Crystal system = monoclinic

=====

Entry 3:
Density functional theory data (PBE) for crystalline TlBiPb2O6 at its relaxed geometry.

a b c (Å): 5.9484 6.2238 8.6131
angles (deg): 90.00 89.95 90.00
Fractional coordinates of all 20 atoms:
Tl 0.5000 0.0000 0.0000
Tl 0.0000 0.5000 0.5000
Bi 0.5000 0.0000 0.5000
Bi 0.0000 0.5000 0.0000
Pb 0.0047 0.9535 0.2687
Pb 0.5047 0.5465 0.7687
Pb 0.9953 0.0465 0.7313
Pb 0.4953 0.4535 0.2313
O 0.3140 0.6806 0.0242
O 0.8140 0.8194 0.5242
O 0.6860 0.3194 0.9758
O 0.1860 0.1806 0.4758
O 0.3010 0.7258 0.4337
O 0.8010 0.7742 0.9337
O 0.6990 0.2742 0.5663
O 0.1990 0.2258 0.0663
O 0.9043 0.5510 0.2407
O 0.4043 0.9490 0.7407
O 0.0957 0.4490 0.7593
O 0.5957 0.0510 0.2593

Calculated values
M_tot = 0.0 μB per cell
Space group = P2_1/c, No. 14
Theoretical density = 9.621 Mg/m³
Formation energy (no corrections) = -0.88 eV/atom
Energy = -5.222 eV per atom
Crystal system = monoclinic

=====

Entry 4:
Density functional theory data (PBE) for crystalline TlBiPbO6 at its relaxed geometry.

a b c (Å): 5.0942 5.0942 10.3573
angles (deg): 90.00 90.00 90.00
Fractional coordinates of all 18 atoms:
Tl 0.5000 0.5000 0.5003
Tl 0.0000 0.0000 0.0003
Bi 0.5000 0.5000 0.1670
Bi 0.0000 0.0000 0.6670
Pb 0.5000 0.5000 0.8327
Pb 0.0000 0.0000 0.3327
O 0.1866 0.8134 0.5034
O 0.8134 0.1866 0.5034
O 0.3134 0.3134 0.0034
O 0.6866 0.6866 0.0034
O 0.1994 0.8006 0.1707
O 0.8006 0.1994 0.1707
O 0.3006 0.3006 0.6707
O 0.6994 0.6994 0.6707
O 0.8068 0.1932 0.8259
O 0.1932 0.8068 0.8259
O 0.6932 0.6932 0.3259
O 0.3068 0.3068 0.3259

Calculated values
M_tot = 0.0 μB per cell
Space group = P4_2nm, No. 102
Theoretical density = 8.854 Mg/m³
Formation energy (no corrections) = -0.76 eV/atom
Energy = -5.169 eV per atom
N(E_F) = 7.89 states/eV per cell
Crystal system = tetragonal

=====

Entry 5:
Density functional theory data (PBE) for crystalline Tl2BiPbO6 at its relaxed geometry.

a b c (Å): 5.9967 5.9968 6.2044
angles (deg): 61.10 61.10 60.00
Last column: magnetic moment on the atom in μB.
Fractional coordinates of all 10 atoms:
Tl 0.5289 0.5289 0.4134  0.00
Tl 0.0259 0.0259 0.9224  0.00
Bi 0.3090 0.3090 0.0730  0.01
Pb 0.8068 0.8068 0.5795  0.11
O 0.6379 0.2108 0.2519  0.05
O 0.2108 0.8994 0.2519  0.05
O 0.8994 0.6379 0.2519  0.05
O 0.3976 0.7054 0.7570  0.07
O 0.7054 0.1400 0.7570  0.07
O 0.1400 0.3976 0.7570  0.07

Calculated values
M_tot = 0.6 μB per cell
Space group = R3, No. 146
Theoretical density = 9.538 Mg/m³
Formation energy (no corrections) = -0.83 eV/atom
Energy = -5.035 eV per atom
N(E_F) = 4.87 states/eV per cell
Crystal system = trigonal

=====

Entry 6:
Density functional theory data (PBE) for crystalline TlBiPb2O at its relaxed geometry.

a b c (Å): 5.9529 5.6941 5.9529
angles (deg): 90.00 90.00 90.00
Last column: magnetic moment on the atom in μB.
Fractional coordinates of all 5 atoms:
Pb 0.0000 0.0000 0.5000  0.02
Pb 0.5000 0.0000 0.0000  0.02
Tl 0.0000 0.0000 0.0000  0.00
Bi 0.0000 0.5000 0.0000  0.04
O 0.5000 0.5000 0.5000  -0.17

Calculated values
M_tot = 0.0 μB per cell
Space group = P4/mmm, No. 123
Theoretical density = 6.944 Mg/m³
Formation energy (no corrections) = 1.04 eV/atom
Energy = -2.687 eV per atom
N(E_F) = 5.26 states/eV per cell
Crystal system = tetragonal

=====

Entry 7:
Density functional theory data (PBE) for crystalline TlBi2PbO6 at its relaxed geometry.

a b c (Å): 6.0994 6.0990 6.2574
angles (deg): 60.84 60.83 59.99
Fractional coordinates of all 10 atoms:
Tl 0.8046 0.8046 0.5862
Bi 0.5205 0.5205 0.4383
Bi 0.0200 0.0199 0.9403
Pb 0.3048 0.3047 0.0858
O 0.6355 0.1839 0.2456
O 0.1839 0.9350 0.2455
O 0.9351 0.6356 0.2454
O 0.4461 0.6837 0.7428
O 0.6836 0.1275 0.7427
O 0.1275 0.4462 0.7426

Calculated values
M_tot = 0.0 μB per cell
Space group = R3, No. 146
Theoretical density = 9.223 Mg/m³
Formation energy (no corrections) = -0.96 eV/atom
Energy = -5.320 eV per atom
N(E_F) = 4.48 states/eV per cell
Crystal system = trigonal

=====

Entry 8:
Density functional theory data (PBE) for crystalline Tl2Bi2PbO6 at its relaxed geometry.

a b c (Å): 6.1559 6.1559 6.9137
angles (deg): 98.03 98.03 118.95
Fractional coordinates of all 11 atoms:
Tl 0.8349 0.1651 0.0000
Tl 0.1651 0.8349 0.0000
Bi 0.3317 0.6683 0.5000
Bi 0.6683 0.3317 0.5000
Pb 0.0000 0.0000 0.5000
O 0.7806 0.7806 0.6960
O 0.0391 0.3698 0.6669
O 0.2194 0.2194 0.3040
O 0.3698 0.0391 0.6669
O 0.9609 0.6302 0.3331
O 0.6302 0.9609 0.3331

Calculated values
M_tot = 0.0 μB per cell
Space group = C2/m, No. 12
Theoretical density = 8.513 Mg/m³
Formation energy (no corrections) = -0.90 eV/atom
Energy = -5.074 eV per atom
Crystal system = monoclinic

=====

- Among the records above, which one has the lowest formation energy (no corrections)?
  Ti5ZnBi2Pb4O18